Entry 1:
# PBE LaSi3Rh, optimized geometry
data_LaSi3Rh
_space_group_name_H-M_alt 'P m -3 m'
_space_group_IT_number 221
_space_group_name_Hall '-P 4 2 3'
_cell_length_a 4.7115
_cell_length_b 4.7115
_cell_length_c 4.7115
_cell_angle_alpha 90.00
_cell_angle_beta 90.00
_cell_angle_gamma 90.00
loop_
_atom_site_label
_atom_site_type_symbol
_atom_site_fract_x
_atom_site_fract_y
_atom_site_fract_z
La1 La 0.0000 0.0000 0.0000
Si1 Si 0.0000 0.5000 0.5000
Rh1 Rh 0.5000 0.5000 0.5000
# formation energy without anion corrections: -0.103 eV/atom


Entry 2:
# PBE TbNd2TmSe5, optimized geometry
data_TbNd2TmSe5
_space_group_name_H-M_alt 'P 4/m m m'
_space_group_IT_number 123
_space_group_name_Hall '-P 4 2'
_cell_length_a 5.0730
_cell_length_b 5.0730
_cell_length_c 10.7283
_cell_angle_alpha 90.00
_cell_angle_beta 90.00
_cell_angle_gamma 90.00
loop_
_atom_site_label
_atom_site_type_symbol
_atom_site_fract_x
_atom_site_fract_y
_atom_site_fract_z
Tb1 Tb 0.0000 0.0000 0.0000
Nd1 Nd 0.5000 0.5000 0.3141
Tm1 Tm 0.0000 0.0000 0.5000
Se1 Se 0.0000 0.0000 0.2474
Se2 Se 0.0000 0.5000 0.5000
Se3 Se 0.5000 0.5000 0.0000
# formation energy without anion corrections: -1.296 eV/atom


Entry 3:
# PBE Hf2CrNi2, optimized geometry
data_Hf2CrNi2
_space_group_name_H-M_alt 'P 4/m b m'
_space_group_IT_number 127
_space_group_name_Hall '-P 4 2ab'
_cell_length_a 7.1932
_cell_length_b 7.1932
_cell_length_c 3.0678
_cell_angle_alpha 90.00
_cell_angle_beta 90.00
_cell_angle_gamma 90.00
loop_
_atom_site_label
_atom_site_type_symbol
_atom_site_fract_x
_atom_site_fract_y
_atom_site_fract_z
Hf1 Hf 0.1664 0.3336 0.0000
Cr1 Cr 0.0000 0.0000 0.0000
Ni1 Ni 0.1302 0.6302 0.5000
# energy of formation: 61 meV per atom
# polymorph energy (0 for the lowest one): 302 meV per atom


Entry 4:
# PBE SnHOs2, optimized geometry
data_SnHOs2
_space_group_name_H-M_alt 'F m -3 m'
_space_group_IT_number 225
_space_group_name_Hall '-F 4 2 3'
_cell_length_a 6.1115
_cell_length_b 6.1115
_cell_length_c 6.1115
_cell_angle_alpha 90.00
_cell_angle_beta 90.00
_cell_angle_gamma 90.00
loop_
_atom_site_label
_atom_site_type_symbol
_atom_site_fract_x
_atom_site_fract_y
_atom_site_fract_z
Sn1 Sn 0.0000 0.0000 0.0000
H1 H 0.0000 0.0000 0.5000
Os1 Os 0.2500 0.2500 0.2500
# polymorph energy (0 for the lowest one): 864 meV per atom


Entry 5:
# PBE SrPrLuMg, optimized geometry
data_SrPrLuMg
_space_group_name_H-M_alt 'F -4 3 m'
_space_group_IT_number 216
_space_group_name_Hall 'F -4 2 3'
_cell_length_a 8.1532
_cell_length_b 8.1532
_cell_length_c 8.1532
_cell_angle_alpha 90.00
_cell_angle_beta 90.00
_cell_angle_gamma 90.00
loop_
_atom_site_label
_atom_site_type_symbol
_atom_site_fract_x
_atom_site_fract_y
_atom_site_fract_z
Sr1 Sr 0.0000 0.0000 0.0000
Pr1 Pr 0.0000 0.0000 0.5000
Lu1 Lu 0.2500 0.2500 0.2500
Mg1 Mg 0.2500 0.2500 0.7500
# energy of formation: 122 meV per atom


Entry 6:
# PBE Ta3Ni2, optimized geometry
data_Ta3Ni2
_space_group_name_H-M_alt 'F d d 2'
_space_group_IT_number 43
_space_group_name_Hall 'F 2 -2d'
_cell_length_a 9.7008
_cell_length_b 13.0928
_cell_length_c 4.8802
_cell_angle_alpha 90.00
_cell_angle_beta 90.00
_cell_angle_gamma 90.00
loop_
_atom_site_label
_atom_site_type_symbol
_atom_site_fract_x
_atom_site_fract_y
_atom_site_fract_z
Ta1 Ta 0.0000 0.0000 0.0000
Ta2 Ta 0.0584 0.3920 0.9961
Ni1 Ni 0.0311 0.2964 0.5282
# energy of formation: -27 meV per atom


Entry 7:
# PBE TlCdPdF6, optimized geometry
data_TlCdPdF6
_space_group_name_H-M_alt 'C 1 2 1'
_space_group_IT_number 5
_cell_length_a 5.9629
_cell_length_b 9.9813
_cell_length_c 5.7152
_cell_angle_alpha 90.00
_cell_angle_beta 90.04
_cell_angle_gamma 90.00
loop_
_space_group_symop_operation_xyz
'x,y,z'
'-x,y,-z'
'x+1/2,y+1/2,z'
'-x+1/2,y+1/2,-z'
loop_
_atom_site_label
_atom_site_type_symbol
_atom_site_fract_x
_atom_site_fract_y
_atom_site_fract_z
Tl1 Tl 0.0000 0.0000 0.0000
Cd1 Cd 0.0000 0.6770 0.5000
Pd1 Pd 0.0000 0.3386 0.5000
F1 F 0.1342 0.4880 0.6885
F2 F 0.1564 0.1971 0.6889
F3 F 0.1909 0.8223 0.7165
# formation energy without anion corrections: -1.713 eV/atom


Entry 8:
# PBE LaMg2In, optimized geometry
data_LaMg2In
_space_group_name_H-M_alt 'I -4 2 d'
_space_group_IT_number 122
_space_group_name_Hall 'I -4 2bw'
_cell_length_a 4.6334
_cell_length_b 4.6334
_cell_length_c 22.3615
_cell_angle_alpha 90.00
_cell_angle_beta 90.00
_cell_angle_gamma 90.00
loop_
_atom_site_label
_atom_site_type_symbol
_atom_site_fract_x
_atom_site_fract_y
_atom_site_fract_z
La1 La 0.0000 0.0000 0.0000
Mg1 Mg 0.2140 0.2500 0.6250
In1 In 0.0000 0.0000 0.5000
# energy of formation: 20 meV per atom